No. 1
Below is an optimized crystal structure of MgPaBiPb, with properties calculated at the PBE level.

Calculated values
* ΔE_f: -44 kJ/mol of formula units
* excess energy over the best structure of this formula in the dataset: 0.0 meV per atom

abc: 4.224 5.009 5.055
angles: 90.00 90.00 90.00
Atoms (fractional coordinates):
Mg 0.500 0.000 0.500
Pa 0.500 0.500 0.000
Bi 0.000 0.000 0.000
Pb 0.000 0.500 0.500

No. 2
Below is an optimized crystal structure of MgPaSnBi, with properties calculated at the PBE level.

Calculated values
* ΔE_f: -1 kJ/mol of formula units

abc: 5.317 5.317 5.317
angles: 60.00 60.00 60.00
Atoms (fractional coordinates):
Mg 0.500 0.500 0.500
Pa 0.000 0.000 0.000
Bi 0.750 0.750 0.750
Sn 0.250 0.250 0.250

No. 3
Below is an optimized crystal structure of MgBiPb, with properties calculated at the PBE level.

Calculated values
* ΔE_f: 5 kJ/mol of formula units

abc: 3.425 5.467 5.467
angles: 120.00 90.00 90.00
Atoms (fractional coordinates):
Pb 0.986 0.000 0.000
Mg 0.467 0.333 0.667
Bi 0.547 0.667 0.333

No. 4
Below is an optimized crystal structure of MgBi3Pb3, with properties calculated at the PBE level.

Calculated values
* ΔE_f: 36 kJ/mol of formula units

abc: 6.826 6.826 11.220
angles: 89.99 89.99 61.96
Atoms (fractional coordinates):
Mg 0.251 0.251 0.000
Mg 0.749 0.749 0.000
Bi 0.000 0.000 0.749
Bi 0.500 0.000 0.230
Bi 0.000 0.500 0.230
Bi 0.500 0.000 0.770
Bi 0.000 0.500 0.770
Bi 0.000 0.000 0.251
Pb 0.253 0.253 0.500
Pb 0.252 0.748 0.500
Pb 0.748 0.252 0.500
Pb 0.258 0.742 0.000
Pb 0.742 0.258 0.000
Pb 0.747 0.747 0.500

No. 5
Below is an optimized crystal structure of Mg3Bi4Pb2, with properties calculated at the PBE level.

Calculated values
* ΔE_f: -34 kJ/mol of formula units

abc: 8.824 8.716 9.240
angles: 90.00 90.00 128.08
Atoms (fractional coordinates):
Mg 0.000 0.500 0.500
Mg 0.500 0.500 0.000
Mg 0.784 0.317 0.910
Mg 0.716 0.683 0.410
Mg 0.216 0.683 0.090
Mg 0.284 0.317 0.590
Bi 0.813 0.061 0.519
Bi 0.687 0.939 0.019
Bi 0.187 0.939 0.481
Bi 0.313 0.061 0.981
Bi 0.818 0.535 0.173
Bi 0.682 0.465 0.673
Bi 0.182 0.465 0.827
Bi 0.318 0.535 0.327
Pb 0.559 0.096 0.283
Pb 0.941 0.904 0.783
Pb 0.441 0.904 0.717
Pb 0.059 0.096 0.217

No. 6
Below is an optimized crystal structure of Mg6BiPb2, with properties calculated at the PBE level.

Calculated values
* ΔE_f: -46 kJ/mol of formula units
* excess energy over the best structure of this formula in the dataset: 0.0 meV per atom

abc: 5.727 9.163 9.163
angles: 74.58 81.76 81.76
Atoms (fractional coordinates):
Mg 0.474 0.683 0.426
Mg 0.026 0.574 0.317
Mg 0.526 0.317 0.574
Mg 0.974 0.426 0.683
Mg 0.641 0.094 0.352
Mg 0.859 0.648 0.906
Mg 0.359 0.906 0.648
Mg 0.141 0.352 0.094
Mg 0.309 0.759 0.018
Mg 0.191 0.982 0.241
Mg 0.691 0.241 0.982
Mg 0.809 0.018 0.759
Bi 0.250 0.123 0.877
Bi 0.750 0.877 0.123
Pb 0.415 0.548 0.788
Pb 0.085 0.212 0.452
Pb 0.585 0.452 0.212
Pb 0.915 0.788 0.548

No. 7
Below is an optimized crystal structure of Mg2BiPb, with properties calculated at the PBE level.

Calculated values
* ΔE_f: -29 kJ/mol of formula units
* excess energy over the best structure of this formula in the dataset: 3.1 meV per atom

abc: 4.358 4.749 11.533
angles: 90.00 115.59 90.00
Atoms (fractional coordinates):
Mg 0.650 0.750 0.628
Mg 0.350 0.250 0.372
Mg 0.089 0.750 0.133
Mg 0.911 0.250 0.867
Bi 0.569 0.250 0.127
Bi 0.431 0.750 0.873
Pb 0.146 0.250 0.621
Pb 0.854 0.750 0.379

No. 8
Below is an optimized crystal structure of MgBi6Pb12, with properties calculated at the PBE level.

Calculated values
* ΔE_f: 86 kJ/mol of formula units

abc: 9.083 9.083 9.083
angles: 68.50 68.50 68.50
Atoms (fractional coordinates):
Mg 0.000 0.000 0.000
Bi 0.124 0.124 0.594
Bi 0.876 0.406 0.876
Bi 0.406 0.876 0.876
Bi 0.876 0.876 0.406
Bi 0.124 0.594 0.124
Bi 0.594 0.124 0.124
Pb 0.509 0.174 0.509
Pb 0.174 0.509 0.509
Pb 0.509 0.509 0.174
Pb 0.491 0.826 0.491
Pb 0.826 0.491 0.491
Pb 0.491 0.491 0.826
Pb 0.075 0.742 0.743
Pb 0.257 0.925 0.258
Pb 0.258 0.257 0.925
Pb 0.925 0.258 0.257
Pb 0.743 0.075 0.742
Pb 0.742 0.743 0.075

No. 9
Below is an optimized crystal structure of MgBiPb6, with properties calculated at the PBE level.

Calculated values
* ΔE_f: 19 kJ/mol of formula units
* excess energy over the best structure of this formula in the dataset: 11.4 meV per atom

abc: 4.779 4.779 10.683
angles: 90.00 90.00 90.00
Atoms (fractional coordinates):
Mg 0.000 0.000 0.500
Bi 0.000 0.000 0.000
Pb 0.500 0.500 0.000
Pb 0.500 0.500 0.500
Pb 0.500 0.000 0.260
Pb 0.500 0.000 0.740
Pb 0.000 0.500 0.260
Pb 0.000 0.500 0.740

No. 10
Below is an optimized crystal structure of Mg3BiPb, with properties calculated at the PBE level.

Calculated values
* ΔE_f: -18 kJ/mol of formula units
* excess energy over the best structure of this formula in the dataset: 0.0 meV per atom

abc: 7.700 7.466 9.805
angles: 104.29 90.00 90.00
Atoms (fractional coordinates):
Mg 0.132 0.015 0.387
Mg 0.868 0.985 0.613
Mg 0.632 0.985 0.113
Mg 0.368 0.015 0.887
Mg 0.536 0.802 0.376
Mg 0.464 0.198 0.624
Mg 0.036 0.198 0.124
Mg 0.964 0.802 0.876
Mg 0.975 0.608 0.381
Mg 0.025 0.392 0.619
Mg 0.475 0.392 0.119
Mg 0.525 0.608 0.881
Bi 0.795 0.620 0.121
Bi 0.205 0.380 0.879
Bi 0.295 0.380 0.379
Bi 0.705 0.620 0.621
Pb 0.245 0.817 0.606
Pb 0.755 0.183 0.394
Pb 0.745 0.183 0.894
Pb 0.255 0.817 0.106

No. 11
Below is an optimized crystal structure of Mg3BiPb, with properties calculated at the PBE level.

Calculated values
* ΔE_f: 178 kJ/mol of formula units
* excess energy over the best structure of this formula in the dataset: 407.0 meV per atom

abc: 5.505 5.505 5.505
angles: 90.00 90.00 90.00
Atoms (fractional coordinates):
Pb 0.500 0.500 0.500
Mg 0.000 0.500 0.000
Mg 0.000 0.000 0.500
Mg 0.500 0.000 0.000
Bi 0.000 0.000 0.000

No. 12
Below is an optimized crystal structure of MgBiPb2, with properties calculated at the PBE level.

Calculated values
* ΔE_f: 28 kJ/mol of formula units

abc: 4.835 4.835 6.929
angles: 69.58 69.58 60.00
Atoms (fractional coordinates):
Mg 0.670 0.670 0.989
Bi 0.498 0.498 0.506
Pb 0.069 0.069 0.792
Pb 0.262 0.262 0.213

No. 13
Below is an optimized crystal structure of MgBi2Pb5, with properties calculated at the PBE level.

Calculated values
* ΔE_f: -1 kJ/mol of formula units

abc: 3.520 7.019 20.023
angles: 90.00 90.00 90.00
Atoms (fractional coordinates):
Mg 0.000 0.000 0.500
Mg 0.000 0.500 0.000
Bi 0.500 0.205 0.612
Bi 0.500 0.795 0.388
Bi 0.500 0.295 0.112
Bi 0.500 0.705 0.888
Pb 0.000 0.000 0.000
Pb 0.000 0.500 0.500
Pb 0.000 0.504 0.753
Pb 0.000 0.496 0.247
Pb 0.000 0.996 0.253
Pb 0.000 0.004 0.747
Pb 0.500 0.224 0.875
Pb 0.500 0.776 0.125
Pb 0.500 0.276 0.375
Pb 0.500 0.724 0.625

No. 14
Below is an optimized crystal structure of MgBiPb2, with properties calculated at the PBE level.

Calculated values
* ΔE_f: 17 kJ/mol of formula units

abc: 3.933 3.933 7.610
angles: 90.00 90.00 90.00
Atoms (fractional coordinates):
Pb 0.000 0.000 0.764
Pb 0.000 0.000 0.236
Mg 0.500 0.500 0.000
Bi 0.500 0.500 0.500

No. 15
Below is an optimized crystal structure of Mg2BiPb, with properties calculated at the PBE level.

Calculated values
* ΔE_f: -26 kJ/mol of formula units
* excess energy over the best structure of this formula in the dataset: 9.8 meV per atom

abc: 3.959 3.959 6.842
angles: 90.00 90.00 90.00
Atoms (fractional coordinates):
Pb 0.500 0.500 0.000
Mg 0.000 0.000 0.744
Mg 0.000 0.000 0.256
Bi 0.500 0.500 0.500

No. 16
Below is an optimized crystal structure of Mg2BiPb, with properties calculated at the PBE level.

Calculated values
* ΔE_f: 27 kJ/mol of formula units
* excess energy over the best structure of this formula in the dataset: 145.8 meV per atom

abc: 3.427 3.427 11.499
angles: 81.43 81.43 60.00
Atoms (fractional coordinates):
Pb 0.000 0.000 0.000
Mg 0.088 0.088 0.737
Mg 0.912 0.912 0.263
Bi 0.500 0.500 0.500

No. 17
Below is an optimized crystal structure of Mg2BiPb2, with properties calculated at the PBE level.

Calculated values
* ΔE_f: 5 kJ/mol of formula units
* excess energy over the best structure of this formula in the dataset: 58.0 meV per atom

abc: 9.010 9.010 3.458
angles: 90.00 90.00 90.00
Atoms (fractional coordinates):
Pb 0.340 0.840 0.000
Pb 0.840 0.660 0.000
Pb 0.660 0.160 0.000
Pb 0.160 0.340 0.000
Mg 0.137 0.637 0.500
Mg 0.637 0.863 0.500
Mg 0.863 0.363 0.500
Mg 0.363 0.137 0.500
Bi 0.000 0.000 0.000
Bi 0.500 0.500 0.000

No. 18
Below is an optimized crystal structure of Mg5Bi3Pb2, with properties calculated at the PBE level.

Calculated values
* ΔE_f: -89 kJ/mol of formula units

abc: 4.840 7.132 16.460
angles: 90.00 98.45 90.00
Atoms (fractional coordinates):
Mg 0.394 0.372 0.788
Mg 0.300 0.527 0.600
Mg 0.700 0.027 0.400
Mg 0.128 0.193 0.257
Mg 0.299 0.028 0.597
Mg 0.947 0.034 0.893
Mg 0.701 0.528 0.403
Mg 0.872 0.693 0.743
Mg 0.053 0.534 0.107
Mg 0.606 0.872 0.212
Bi 0.777 0.766 0.555
Bi 0.608 0.437 0.216
Bi 0.046 0.956 0.092
Bi 0.223 0.266 0.445
Bi 0.954 0.456 0.908
Bi 0.392 0.937 0.784
Pb 0.489 0.760 0.979
Pb 0.165 0.792 0.331
Pb 0.835 0.292 0.669
Pb 0.511 0.260 0.021

No. 19
Below is an optimized crystal structure of Mg2BiPb2, with properties calculated at the PBE level.

Calculated values
* ΔE_f: -23 kJ/mol of formula units
* excess energy over the best structure of this formula in the dataset: 0.0 meV per atom

abc: 5.412 7.080 8.708
angles: 114.07 108.21 89.75
Atoms (fractional coordinates):
Mg 0.820 0.320 0.141
Mg 0.820 0.820 0.141
Mg 0.180 0.180 0.859
Mg 0.180 0.680 0.859
Bi 0.354 0.104 0.209
Bi 0.646 0.896 0.791
Pb 0.642 0.392 0.783
Pb 0.000 0.750 0.500
Pb 0.000 0.250 0.500
Pb 0.358 0.608 0.217

No. 20
Below is an optimized crystal structure of MgBiPb, with properties calculated at the PBE level.

Calculated values
* ΔE_f: -23 kJ/mol of formula units

abc: 4.846 3.430 10.744
angles: 90.00 90.00 90.00
Atoms (fractional coordinates):
Mg 0.250 0.750 0.409
Mg 0.750 0.250 0.591
Bi 0.250 0.750 0.695
Bi 0.750 0.250 0.305
Pb 0.250 0.250 0.085
Pb 0.750 0.750 0.915

No. 21
Below is an optimized crystal structure of MgBiPb, with properties calculated at the PBE level.

Calculated values
* ΔE_f: 4 kJ/mol of formula units

abc: 4.814 3.454 10.684
angles: 99.20 89.97 89.99
Atoms (fractional coordinates):
Mg 0.849 0.788 0.988
Mg 0.348 0.205 0.835
Bi 0.346 0.046 0.520
Bi 0.846 0.940 0.304
Pb 0.347 0.358 0.134
Pb 0.846 0.632 0.690

No. 22
Below is an optimized crystal structure of Mg7Bi2Pb2, with properties calculated at the PBE level.

Calculated values
* ΔE_f: -81 kJ/mol of formula units

abc: 6.846 6.979 6.846
angles: 90.00 92.30 90.00
Atoms (fractional coordinates):
Mg 0.000 0.245 0.500
Mg 0.500 0.755 0.000
Mg 0.000 0.755 0.500
Mg 0.500 0.245 0.000
Mg 0.000 0.000 0.000
Mg 0.500 0.720 0.500
Mg 0.500 0.280 0.500
Bi 0.782 0.500 0.782
Bi 0.218 0.500 0.218
Pb 0.719 0.000 0.281
Pb 0.281 0.000 0.719

No. 23
Below is an optimized crystal structure of MgBiPb2, with properties calculated at the PBE level.

Calculated values
* ΔE_f: 94 kJ/mol of formula units

abc: 7.133 7.133 8.179
angles: 64.15 64.15 90.00
Atoms (fractional coordinates):
Pb 0.611 0.125 0.250
Pb 0.139 0.625 0.250
Pb 0.375 0.389 0.750
Pb 0.875 0.861 0.750
Mg 0.500 0.500 0.000
Mg 0.250 0.750 0.500
Bi 0.000 0.000 0.000
Bi 0.750 0.250 0.500